No. 1
Material: LiPaBiTe
Method: DFT, PBE
State: optimized geometry

As for the space group: F-43m (216).

a = 5.3301 Å, b = 5.3301 Å, c = 5.3301 Å
α = 60.00°, β = 60.00°, γ = 60.00°
Closest atoms and distances in Å follow each position.
Sites, in units of the cell vectors:
Pa (0.7500, 0.7500, 0.7500)  4 Te 3.26, 4 Bi 3.26
Te (0.0000, 0.0000, 0.0000)  4 Li 3.26, 4 Pa 3.26
Bi (0.5000, 0.5000, 0.5000)  4 Pa 3.26, 4 Li 3.26
Li (0.2500, 0.2500, 0.2500)  4 Bi 3.26, 4 Te 3.26

No. 2
Material: CdInMo
Method: DFT, PBE
State: optimized geometry

As for the space group: I4mm (107). Its energy above the most stable polymorph in this dataset is 7.3 meV/atom. For the formation enthalpy at 0 K, the calculation gives 443.5 meV/atom.

a = 7.3900 Å, b = 7.3900 Å, c = 7.3900 Å
α = 157.30°, β = 157.30°, γ = 32.32°
Closest atoms and distances in Å follow each position.
Sites, in units of the cell vectors:
Cd (0.0130, 0.0130, 0.0000)  4 Cd 2.91, 4 Mo 2.99
In (0.3210, 0.3210, 0.0000)  4 In 2.91, 4 Mo 3.01
Mo (0.6660, 0.6660, 0.0000)  4 Mo 2.91, 4 Cd 2.99, 4 In 3.01

no.,E_tot (eV/atom)
1,-4.99
2,-4.38